Entry from Alexandria: a relaxed ErRuC crystal (PBE).

Unit cell a=6.9349 b=6.9349 c=6.9349 alpha=103.16 beta=103.16 gamma=103.16
Fractional positions:
Er (0.1406, 0.3933, 0.6226)
Er (0.3774, 0.8594, 0.6067)
Er (0.3933, 0.6226, 0.1406)
Er (0.6067, 0.3774, 0.8594)
Er (0.6226, 0.1406, 0.3933)
Er (0.8594, 0.6067, 0.3774)
Ru (0.0075, 0.6987, 0.9749)
Ru (0.0251, 0.9925, 0.3013)
Ru (0.3013, 0.0251, 0.9925)
Ru (0.6987, 0.9749, 0.0075)
Ru (0.9749, 0.0075, 0.6987)
Ru (0.9925, 0.3013, 0.0251)
C (0.0878, 0.7593, 0.7347)
C (0.2407, 0.2653, 0.9122)
C (0.2653, 0.9122, 0.2407)
C (0.7347, 0.0878, 0.7593)
C (0.7593, 0.7347, 0.0878)
C (0.9122, 0.2407, 0.2653)

Relative energy among the computed polymorphs = 0.2469 eV/atom
M_tot = 0.00 μB/f.u.
SG = No. 148
Volume = 16.8 Å³ per atom
Raw total energy = -7.671 eV/atom
Fermi-level density of states = 2.13 states/eV/f.u.
Calculated formation energy = 1.55 kJ/mol of atoms